A relaxed structure of TlRu2Br, computed with PBE.

Cell lengths 3.2205, 3.2205, 6.6879 Å; angles 90.00, 90.00, 90.00 degrees
With the nearest neighbours (Å) after each atom.
Fractional coordinates of all 4 atoms:
Ru  0.0000  0.0000  0.9858  4 Br 2.77, 4 Tl 2.88
Ru  0.0000  0.0000  0.5142  4 Br 2.77, 4 Tl 2.88
Tl  0.5000  0.5000  0.2500  8 Ru 2.88, 4 Tl 3.22
Br  0.5000  0.5000  0.7500  8 Ru 2.77

The uncorrected formation energy comes out at 0.870 eV/atom. The calculation puts the total DFT energy (no corrections) at -4.78 eV per atom. The spin magnetization comes out at 0.00 μB per cell.

=====

A relaxed structure of Tl2RuBr, computed with PBE.

Cell lengths 3.2723, 4.0805, 8.3838 Å; angles 75.94, 90.00, 90.00 degrees
With the nearest neighbours (Å) after each atom.
Fractional coordinates of all 4 atoms:
Ru  0.5000  0.5403  0.7944  2 Br 2.47
Tl  0.0000  0.9773  0.9206  4 Ru 2.81
Tl  0.5000  0.3281  0.2186  6 Tl 3.27-3.57, 1 Ru 3.45
Br  0.0000  0.6544  0.5664  2 Ru 2.47

The uncorrected formation energy comes out at 0.243 eV/atom. The calculation puts the total DFT energy (no corrections) at -3.68 eV per atom. The spin magnetization comes out at 0.00 μB per cell.

=====

A relaxed structure of TlRuBr2, computed with PBE.

Cell lengths 6.7695, 6.7695, 6.7695 Å; angles 143.14, 143.14, 53.12 degrees
With the nearest neighbours (Å) after each atom.
Fractional coordinates of all 4 atoms:
Ru  0.5000  0.5000  0.0000  4 Br 3.03
Tl  0.7500  0.2500  0.5000  4 Br 3.03
Br  0.0000  0.0000  0.0000  4 Ru 3.03
Br  0.2500  0.7500  0.5000  4 Tl 3.03

The uncorrected formation energy comes out at 0.531 eV/atom. The calculation puts the total DFT energy (no corrections) at -3.22 eV per atom. The spin magnetization comes out at 3.00 μB per cell.

=====

A relaxed structure of TlRuBr2, computed with PBE.

Cell lengths 9.8210, 9.8210, 9.8210 Å; angles 21.97, 21.97, 21.97 degrees
With the nearest neighbours (Å) after each atom.
Fractional coordinates of all 4 atoms:
Ru  0.5000  0.5000  0.5000  6 Br 2.55
Tl  0.0000  0.0000  0.0000  2 Br 3.44, 6 Tl 3.74
Br  0.8801  0.8801  0.8801  3 Ru 2.55
Br  0.1199  0.1199  0.1199  3 Ru 2.55

The uncorrected formation energy comes out at 0.048 eV/atom. The calculation puts the total DFT energy (no corrections) at -3.70 eV per atom. The spin magnetization comes out at 0.00 μB per cell.

=====

A relaxed structure of Tl2RuBr, computed with PBE.

Cell lengths 5.4197, 8.5411, 3.2548 Å; angles 67.45, 90.11, 132.29 degrees
With the nearest neighbours (Å) after each atom.
Fractional coordinates of all 4 atoms:
Ru  0.5000  0.0000  0.5000  8 Tl 3.16, 2 Ru 3.25
Tl  0.0000  0.0000  0.0000  4 Br 3.16, 4 Ru 3.16, 2 Tl 3.25
Tl  0.0000  0.5000  0.5000  4 Ru 3.16, 4 Br 3.16, 2 Tl 3.25
Br  0.5000  0.5000  0.0000  8 Tl 3.16, 2 Br 3.25

The uncorrected formation energy comes out at 0.413 eV/atom. The calculation puts the total DFT energy (no corrections) at -3.51 eV per atom. The spin magnetization comes out at 1.73 μB per cell.

=====

A relaxed structure of TlRu2Br, computed with PBE.

Cell lengths 5.3617, 5.3617, 5.3617 Å; angles 135.46, 135.46, 64.81 degrees
With the nearest neighbours (Å) after each atom.
Fractional coordinates of all 4 atoms:
Ru  0.0000  0.0000  0.0000  4 Tl 2.87, 4 Ru 3.04, 4 Br 3.04
Ru  0.2500  0.7500  0.5000  4 Br 2.87, 4 Tl 3.04, 4 Ru 3.04
Tl  0.5000  0.5000  0.0000  8 Ru 2.87-3.04, 4 Br 3.04
Br  0.7500  0.2500  0.5000  8 Ru 2.87-3.04, 4 Tl 3.04

The uncorrected formation energy comes out at 1.047 eV/atom. The calculation puts the total DFT energy (no corrections) at -4.60 eV per atom. The spin magnetization comes out at 2.99 μB per cell.

=====

A relaxed structure of Tl2RuBr, computed with PBE.

Cell lengths 5.7979, 5.7979, 5.7979 Å; angles 134.00, 134.00, 67.09 degrees
With the nearest neighbours (Å) after each atom.
Fractional coordinates of all 4 atoms:
Ru  0.7500  0.2500  0.5000  4 Br 3.20, 8 Tl 3.31
Tl  0.0000  0.0000  0.0000  4 Tl 3.20, 4 Br 3.31, 4 Ru 3.31
Tl  0.5000  0.5000  0.0000  4 Tl 3.20, 4 Br 3.31, 4 Ru 3.31
Br  0.2500  0.7500  0.5000  4 Ru 3.20, 8 Tl 3.31

The uncorrected formation energy comes out at 0.647 eV/atom. The calculation puts the total DFT energy (no corrections) at -3.27 eV per atom. The spin magnetization comes out at 1.98 μB per cell.

=====

A relaxed structure of Tl2RuBr, computed with PBE.

Cell lengths 3.3937, 3.3937, 8.4855 Å; angles 90.00, 90.00, 90.00 degrees
With the nearest neighbours (Å) after each atom.
Fractional coordinates of all 4 atoms:
Ru  0.5000  0.5000  0.7501  4 Br 2.88, 4 Tl 2.91
Tl  0.0000  0.0000  0.9433  4 Ru 2.91, 1 Br 3.23
Tl  0.5000  0.5000  0.2438  8 Tl 3.39-3.50, 4 Br 3.62
Br  0.0000  0.0000  0.5627  4 Ru 2.88

The uncorrected formation energy comes out at 0.401 eV/atom. The calculation puts the total DFT energy (no corrections) at -3.52 eV per atom. The spin magnetization comes out at 1.61 μB per cell.